Record 1
The following is a DFT calculation (GGA-PBE) of crystalline RePt2Br at its relaxed geometry.

a = 2.9213 Å, b = 2.9213 Å, c = 8.2514 Å
α = 90.00°, β = 90.00°, γ = 90.00°
Space group P4mm (No. 99)
Symmetry-distinct sites (fractional):
Re 0.0000 0.0000 0.0000 (multiplicity 1)
Pt 0.0000 0.0000 0.5592 (multiplicity 1)
Pt 0.5000 0.5000 0.7935 (multiplicity 1)
Br 0.5000 0.5000 0.2169 (multiplicity 1)

- Energy above the lowest structure with this stoichiometry: 0.2790 eV per atom
- Raw total energy: -6.05 eV/atom
- Uncorrected formation energy: 0.51 eV per atom



Record 2
The following is a DFT calculation (GGA-PBE) of crystalline LiZnBr at its relaxed geometry.

a = 3.6652 Å, b = 3.6652 Å, c = 13.7050 Å
α = 90.00°, β = 90.00°, γ = 90.00°
Space group I4mm (No. 107)
Symmetry-distinct sites (fractional):
Li 0.0000 0.0000 0.0000 (multiplicity 2)
Zn 0.0000 0.0000 0.7785 (multiplicity 2)
Br 0.0000 0.0000 0.5171 (multiplicity 2)

- Energy above the lowest structure with this stoichiometry: 0.0045 eV per atom
- Raw total energy: -2.25 eV/atom
- Uncorrected formation energy: -0.63 eV per atom



Record 3
The following is a DFT calculation (GGA-PBE) of crystalline NiPb at its relaxed geometry.

a = 6.7898 Å, b = 7.9296 Å, c = 12.7732 Å
α = 90.00°, β = 90.00°, γ = 90.00°
Space group Fddd (No. 70, origin choice 2)
Symmetry-distinct sites (fractional):
Ni 0.1250 0.1250 0.0264 (multiplicity 16)
Pb 0.1250 0.3245 0.6250 (multiplicity 16)

- Raw total energy: -4.43 eV/atom
- Energy of formation: 0.31 eV per atom



Record 4
The following is a DFT calculation (GGA-PBE) of crystalline RbNbTl at its relaxed geometry.

a = 3.6100 Å, b = 3.6101 Å, c = 14.8042 Å
α = 90.43°, β = 91.47°, γ = 90.00°
Space group P-1 (No. 2)
Symmetry-distinct sites (fractional):
Rb 0.2130 0.2387 0.1530 (multiplicity 2)
Nb 0.2455 0.2487 0.4592 (multiplicity 2)
Tl 0.2681 0.2553 0.6660 (multiplicity 2)

- Energy above the lowest structure with this stoichiometry: 0.0000 eV per atom
- Raw total energy: -4.22 eV/atom
- Energy of formation: 0.25 eV per atom



Record 5
The following is a DFT calculation (GGA-PBE) of crystalline Rb2CoPdS4 at its relaxed geometry.

a = 5.5858 Å, b = 13.5122 Å, c = 22.4542 Å
α = 90.00°, β = 90.00°, γ = 90.00°
Space group Fddd (No. 70, origin choice 2)
Symmetry-distinct sites (fractional):
Rb 0.1250 0.1250 0.3056 (multiplicity 16)
Co 0.1250 0.1250 0.6250 (multiplicity 8)
Pd 0.1250 0.1250 0.1250 (multiplicity 8)
S 0.0944 0.2838 0.8194 (multiplicity 32)

- Raw total energy: -4.42 eV/atom
- Uncorrected formation energy: -0.57 eV per atom



Record 6
The following is a DFT calculation (GGA-PBE) of crystalline BaBS2N at its relaxed geometry.

a = 5.9893 Å, b = 5.9893 Å, c = 5.2871 Å
α = 90.00°, β = 90.00°, γ = 90.00°
Space group P4/mmm (No. 123)
Symmetry-distinct sites (fractional):
Ba 0.0000 0.0000 0.0000 (multiplicity 1)
B 0.5000 0.5000 0.5000 (multiplicity 1)
S 0.0000 0.5000 0.0000 (multiplicity 2)
N 0.0000 0.0000 0.5000 (multiplicity 1)

- Energy above the lowest structure with this stoichiometry: 2.0748 eV per atom
- Raw total energy: -3.18 eV/atom
- Uncorrected formation energy: 1.86 eV per atom